# 1
Tl2InTe | Alexandria via LeMat-Bulk | GGA-PBE | relaxed; E above lowest polymorph = 206 meV/atom; density of states at the Fermi level = 4.26 states/eV/cell; uncorrected energy = -2.608 eV/atom; uncorrected formation energy = 0.05 eV/atom
1.0
-0.271 -6.716 -2.496
3.529 -2.299 5.802
-4.112 -5.437 4.777
Tl Te In
4 2 2
direct
0.375 0.382 0.750 Tl
0.132 0.625 0.250 Tl
0.618 0.125 0.250 Tl
0.875 0.868 0.750 Tl
0.000 0.000 0.000 Te
0.750 0.250 0.500 Te
0.500 0.500 0.000 In
0.250 0.750 0.500 In

# 2
TlIn2Te4 | Alexandria via LeMat-Bulk | GGA-PBE | relaxed; density of states at the Fermi level = 3.01 states/eV/cell; uncorrected energy = -3.161 eV/atom; uncorrected formation energy = -0.24 eV/atom
1.0
-3.767 3.400 -3.788
-4.946 -3.557 1.727
-1.343 4.458 5.336
Te In Tl
4 2 1
direct
0.284 0.284 0.253 Te
0.284 0.716 0.747 Te
0.716 0.284 0.747 Te
0.716 0.716 0.253 Te
0.000 0.500 0.500 In
0.500 0.000 0.500 In
0.000 0.000 0.000 Tl

# 3
Tl12InTe7 | Alexandria via LeMat-Bulk | GGA-PBE | relaxed; density of states at the Fermi level = 3.98 states/eV/cell; uncorrected energy = -2.860 eV/atom; uncorrected formation energy = -0.20 eV/atom
1.0
10.343 0.000 -2.129
-4.368 7.907 -3.762
-1.607 0.000 9.652
Tl Te In
12 7 1
direct
0.436 0.293 0.995 Tl
0.712 0.416 0.719 Tl
0.296 0.303 0.584 Tl
0.143 0.702 0.707 Tl
0.006 0.719 0.303 Tl
0.704 0.697 0.416 Tl
0.288 0.584 0.281 Tl
0.441 0.005 0.298 Tl
0.559 0.995 0.702 Tl
0.857 0.298 0.293 Tl
0.994 0.281 0.697 Tl
0.564 0.707 0.005 Tl
0.069 0.724 0.003 Te
0.655 0.721 0.724 Te
0.935 0.003 0.279 Te
0.500 0.000 0.000 Te
0.931 0.276 0.997 Te
0.345 0.279 0.276 Te
0.065 0.997 0.721 Te
0.000 0.000 0.000 In

# 4
Tl2InTe | Alexandria via LeMat-Bulk | GGA-PBE | relaxed; E above lowest polymorph = 110 meV/atom; density of states at the Fermi level = 3.44 states/eV/cell; uncorrected energy = -2.704 eV/atom; uncorrected formation energy = -0.05 eV/atom
1.0
-4.203 -3.132 2.155
-4.871 -0.549 -2.846
-1.345 -4.963 -2.384
Tl Te In
2 1 1
direct
0.250 0.250 0.250 Tl
0.750 0.750 0.750 Tl
0.500 0.500 0.500 Te
0.000 0.000 0.000 In

# 5
TlInTe3 | Alexandria via LeMat-Bulk | GGA-PBE | relaxed; E above lowest polymorph = 572 meV/atom; density of states at the Fermi level = 4.68 states/eV/cell; uncorrected energy = -2.533 eV/atom; uncorrected formation energy = 0.37 eV/atom
1.0
-3.883 -0.817 4.240
4.315 -0.492 3.856
-0.183 5.729 0.936
Te In Tl
3 1 1
direct
0.000 0.000 0.500 Te
0.500 0.000 0.000 Te
0.000 0.500 0.000 Te
0.500 0.500 0.500 In
0.000 0.000 0.000 Tl

# 6
Tl6InTe4 | Alexandria via LeMat-Bulk | GGA-PBE | relaxed; density of states at the Fermi level = 5.07 states/eV/cell; uncorrected energy = -2.955 eV/atom; uncorrected formation energy = -0.27 eV/atom
1.0
7.043 0.000 0.000
0.000 9.941 -5.740
0.000 0.000 11.479
Tl Te In
12 8 2
direct
0.141 0.026 0.513 Tl
0.641 0.974 0.487 Tl
0.641 0.513 0.487 Tl
0.906 0.313 0.157 Tl
0.906 0.843 0.687 Tl
0.641 0.513 0.026 Tl
0.141 0.487 0.974 Tl
0.406 0.687 0.843 Tl
0.406 0.157 0.843 Tl
0.406 0.157 0.313 Tl
0.906 0.843 0.157 Tl
0.141 0.487 0.513 Tl
0.392 0.811 0.189 Te
0.892 0.621 0.811 Te
0.381 0.333 0.667 Te
0.892 0.189 0.811 Te
0.392 0.379 0.189 Te
0.892 0.189 0.379 Te
0.881 0.667 0.333 Te
0.392 0.811 0.621 Te
0.796 0.333 0.667 In
0.296 0.667 0.333 In

# 7
TlInTe | Alexandria via LeMat-Bulk | GGA-PBE | relaxed; E above lowest polymorph = 0 meV/atom; density of states at the Fermi level = 1.85 states/eV/cell; uncorrected energy = -2.988 eV/atom; uncorrected formation energy = -0.24 eV/atom
1.0
6.990 0.000 0.000
0.000 6.598 -2.489
0.000 -0.402 8.749
Te In Tl
4 4 4
direct
0.633 0.803 0.608 Te
0.867 0.803 0.108 Te
0.133 0.197 0.892 Te
0.367 0.197 0.392 Te
0.287 0.892 0.039 In
0.787 0.108 0.461 In
0.213 0.892 0.539 In
0.713 0.108 0.961 In
0.060 0.506 0.697 Tl
0.940 0.494 0.303 Tl
0.560 0.494 0.803 Tl
0.440 0.506 0.197 Tl

# 8
TlIn2Te | Alexandria via LeMat-Bulk | GGA-PBE | relaxed; E above lowest polymorph = 31 meV/atom; density of states at the Fermi level = 1.68 states/eV/cell; uncorrected energy = -2.841 eV/atom; uncorrected formation energy = -0.09 eV/atom
1.0
-3.064 -0.890 -2.759
-1.033 -4.014 -0.783
-7.025 -1.389 5.025
Tl In Te
1 2 1
direct
0.499 0.499 0.503 Tl
0.077 0.077 0.769 In
0.256 0.256 0.232 In
0.668 0.668 0.997 Te

# 9
TlIn2Te2 | Alexandria via LeMat-Bulk | GGA-PBE | relaxed; E above lowest polymorph = 102 meV/atom; density of states at the Fermi level = 3.79 states/eV/cell; uncorrected energy = -2.979 eV/atom; uncorrected formation energy = -0.15 eV/atom
1.0
-4.609 -3.241 -6.765
3.391 -7.983 1.514
-3.116 -0.844 2.527
In Te Tl
4 4 2
direct
0.854 0.354 0.500 In
0.354 0.146 0.500 In
0.146 0.646 0.500 In
0.646 0.854 0.500 In
0.152 0.348 0.000 Te
0.348 0.848 0.000 Te
0.848 0.652 0.000 Te
0.652 0.152 0.000 Te
0.000 0.000 0.000 Tl
0.500 0.500 0.000 Tl

# 10
TlIn2Te2 | Alexandria via LeMat-Bulk | GGA-PBE | relaxed; E above lowest polymorph = 95 meV/atom; density of states at the Fermi level = 4.56 states/eV/cell; uncorrected energy = -2.986 eV/atom; uncorrected formation energy = -0.16 eV/atom
1.0
-8.485 -1.312 1.499
1.978 -6.342 5.642
0.114 2.762 3.064
In Te Tl
4 4 2
direct
0.628 0.128 0.000 In
0.872 0.628 0.000 In
0.128 0.372 0.000 In
0.372 0.872 0.000 In
0.176 0.676 0.500 Te
0.676 0.824 0.500 Te
0.824 0.324 0.500 Te
0.324 0.176 0.500 Te
0.500 0.500 0.000 Tl
0.000 0.000 0.000 Tl

# 11
TlInTe | Alexandria via LeMat-Bulk | GGA-PBE | relaxed; E above lowest polymorph = 128 meV/atom; density of states at the Fermi level = 0.39 states/eV/cell; uncorrected energy = -2.860 eV/atom; uncorrected formation energy = -0.11 eV/atom
1.0
5.731 0.000 0.000
-2.865 4.963 0.000
0.000 0.000 3.233
In Te Tl
1 1 1
direct
0.000 0.000 0.171 In
0.333 0.667 0.161 Te
0.667 0.333 0.669 Tl

# 12
Tl2InTe | Alexandria via LeMat-Bulk | GGA-PBE | relaxed; E above lowest polymorph = 104 meV/atom; density of states at the Fermi level = 2.55 states/eV/cell; uncorrected energy = -2.709 eV/atom; uncorrected formation energy = -0.06 eV/atom
1.0
5.655 0.000 0.000
2.827 4.897 0.000
2.827 1.632 4.617
In Te Tl
1 1 2
direct
0.500 0.500 0.500 In
0.750 0.750 0.750 Te
0.250 0.250 0.250 Tl
0.000 0.000 0.000 Tl